# YMnRu, relaxed, DFT GGA-PBE
data_YMnRu
_chemical_formula_sum 'Y1 Mn1 Ru1'
_symmetry_space_group_name_H-M 'P 1'
_symmetry_Int_Tables_number 1
_symmetry_space_group_name_Hall 'P 1'
_cell_length_a 4.5240
_cell_length_b 4.5240
_cell_length_c 4.5240
_cell_angle_alpha 60.00
_cell_angle_beta 60.00
_cell_angle_gamma 60.00
loop_
_atom_site_label
_atom_site_type_symbol
_atom_site_fract_x
_atom_site_fract_y
_atom_site_fract_z
Mn1 Mn 0.0000 0.0000 0.0000
Ru1 Ru 0.5000 0.5000 0.5000
Y1 Y 0.2500 0.2500 0.2500
# uncorrected energy	-7.357	eV/atom
# ΔE to the lowest computed polymorph	1131	meV/atom
# formation energy	2.8	eV/f.u.



# YMnRu3, relaxed, DFT GGA-PBE
data_YMnRu3
_chemical_formula_sum 'Y1 Mn1 Ru3'
_symmetry_space_group_name_H-M 'P 1'
_symmetry_Int_Tables_number 1
_symmetry_space_group_name_Hall 'P 1'
_cell_length_a 4.7552
_cell_length_b 4.7552
_cell_length_c 4.7552
_cell_angle_alpha 90.00
_cell_angle_beta 90.00
_cell_angle_gamma 90.00
loop_
_atom_site_label
_atom_site_type_symbol
_atom_site_fract_x
_atom_site_fract_y
_atom_site_fract_z
Y1 Y 0.0000 0.0000 0.0000
Ru1 Ru 0.0000 0.5000 0.0000
Ru2 Ru 0.0000 0.0000 0.5000
Ru3 Ru 0.5000 0.0000 0.0000
Mn1 Mn 0.5000 0.5000 0.5000
# uncorrected energy	-6.143	eV/atom
# formation energy	12.7	eV/f.u.



# YMnRu, relaxed, DFT GGA-PBE
data_YMnRu
_chemical_formula_sum 'Y1 Mn1 Ru1'
_symmetry_space_group_name_H-M 'P 1'
_symmetry_Int_Tables_number 1
_symmetry_space_group_name_Hall 'P 1'
_cell_length_a 5.6537
_cell_length_b 5.6537
_cell_length_c 3.3244
_cell_angle_alpha 72.90
_cell_angle_beta 72.90
_cell_angle_gamma 34.20
loop_
_atom_site_label
_atom_site_type_symbol
_atom_site_fract_x
_atom_site_fract_y
_atom_site_fract_z
Mn1 Mn 0.0345 0.0345 0.9655
Ru1 Ru 0.6403 0.6403 0.3597
Y1 Y 0.3252 0.3252 0.6748
# uncorrected energy	-8.262	eV/atom
# ΔE to the lowest computed polymorph	227	meV/atom
# formation energy	0.1	eV/f.u.



# Y2MnRu2, relaxed, DFT GGA-PBE
data_Y2MnRu2
_chemical_formula_sum 'Y4 Mn2 Ru4'
_symmetry_space_group_name_H-M 'P 1'
_symmetry_Int_Tables_number 1
_symmetry_space_group_name_Hall 'P 1'
_cell_length_a 6.4532
_cell_length_b 6.4532
_cell_length_c 4.5799
_cell_angle_alpha 90.00
_cell_angle_beta 90.00
_cell_angle_gamma 90.00
loop_
_atom_site_label
_atom_site_type_symbol
_atom_site_fract_x
_atom_site_fract_y
_atom_site_fract_z
Y1 Y 0.1777 0.6777 0.5000
Y2 Y 0.6777 0.8223 0.5000
Y3 Y 0.8223 0.3223 0.5000
Y4 Y 0.3223 0.1777 0.5000
Ru1 Ru 0.3532 0.8532 0.0000
Ru2 Ru 0.8532 0.6468 0.0000
Ru3 Ru 0.6468 0.1468 0.0000
Ru4 Ru 0.1468 0.3532 0.0000
Mn1 Mn 0.0000 0.0000 0.0000
Mn2 Mn 0.5000 0.5000 0.0000
# uncorrected energy	-8.161	eV/atom
# formation energy	-0.2	eV/f.u.



| no. | magnetic moment (μB per formula unit) |
| --- | --- |
| 1 | 4.22 |
| 2 | 0.79 |
| 3 | 3.93 |
| 4 | 0.00 |